La2CoO4: optimized geometry, GGA+U.

Geometry as CIF:
```
data_La2CoO4
_chemical_formula_sum 'La2 Co1 O4'
_symmetry_space_group_name_H-M 'P 1'
_symmetry_Int_Tables_number 1
_symmetry_space_group_name_Hall 'P 1'
_cell_length_a 6.8836
_cell_length_b 6.8836
_cell_length_c 6.8836
_cell_angle_alpha 145.60
_cell_angle_beta 145.60
_cell_angle_gamma 49.44
loop_
_atom_site_label
_atom_site_type_symbol
_atom_site_fract_x
_atom_site_fract_y
_atom_site_fract_z
La1 La 0.1487 0.1487 0.0000
La2 La 0.8513 0.8513 0.0000
Co1 Co 0.5000 0.5000 0.0000
O1 O 0.0000 0.5000 0.5000
O2 O 0.2500 0.7500 0.5000
O3 O 0.5000 0.0000 0.5000
O4 O 0.7500 0.2500 0.5000
```

Its total energy is -7.661 eV/atom. As for the space group: No. 139. As for the total magnetization: 3.0 μB/f.u.